(1)
First-principles (PBE) data for a geometry-optimized AcErAl2Si2 structure, as listed in the Alexandria database.

Results
Total magnetic moment, μB/atom: 0.00
D(E_F), states/eV/f.u.: 1.595
Raw formation energy, eV per atom: -0.556

```
data_AcErAl2Si2
_chemical_formula_sum 'Ac1 Er1 Al2 Si2'
_symmetry_space_group_name_H-M 'P -3 m 1'
_symmetry_Int_Tables_number 164
_symmetry_space_group_name_Hall '-P 3 2"'
_cell_length_a 4.2224
_cell_length_b 4.2224
_cell_length_c 8.6744
_cell_angle_alpha 90.00
_cell_angle_beta 90.00
_cell_angle_gamma 120.00
loop_
_atom_site_label
_atom_site_type_symbol
_atom_site_fract_x
_atom_site_fract_y
_atom_site_fract_z
_atom_site_occupancy
Ac1 Ac 0.0000 0.0000 0.0000 1
Er1 Er 0.0000 0.0000 0.5000 1
Al1 Al 0.3333 0.6667 0.7351 1
Si1 Si 0.3333 0.6667 0.2836 1
```

***

(2)
First-principles (PBE) data for a geometry-optimized AcSmErAl structure, as listed in the Alexandria database.

Results
Total magnetic moment, μB/atom: 0.00
ΔH_f (0 K), eV per atom: 0.078
D(E_F), states/eV/f.u.: 7.217

```
data_AcSmErAl
_chemical_formula_sum 'Ac4 Sm4 Er4 Al4'
_symmetry_space_group_name_H-M 'F -4 3 m'
_symmetry_Int_Tables_number 216
_symmetry_space_group_name_Hall 'F -4 2 3'
_cell_length_a 7.8230
_cell_length_b 7.8230
_cell_length_c 7.8230
_cell_angle_alpha 90.00
_cell_angle_beta 90.00
_cell_angle_gamma 90.00
loop_
_atom_site_label
_atom_site_type_symbol
_atom_site_fract_x
_atom_site_fract_y
_atom_site_fract_z
_atom_site_occupancy
Ac1 Ac 0.0000 0.0000 0.0000 1
Sm1 Sm 0.2500 0.2500 0.7500 1
Er1 Er 0.2500 0.2500 0.2500 1
Al1 Al 0.0000 0.0000 0.5000 1
```

***

(3)
First-principles (PBE) data for a geometry-optimized AcErThAl structure, as listed in the Alexandria database.

Results
Total magnetic moment, μB/atom: 0.00
ΔH_f (0 K), eV per atom: 0.133
D(E_F), states/eV/f.u.: 5.107

```
data_AcErThAl
_chemical_formula_sum 'Ac4 Er4 Th4 Al4'
_symmetry_space_group_name_H-M 'F -4 3 m'
_symmetry_Int_Tables_number 216
_symmetry_space_group_name_Hall 'F -4 2 3'
_cell_length_a 7.8305
_cell_length_b 7.8305
_cell_length_c 7.8305
_cell_angle_alpha 90.00
_cell_angle_beta 90.00
_cell_angle_gamma 90.00
loop_
_atom_site_label
_atom_site_type_symbol
_atom_site_fract_x
_atom_site_fract_y
_atom_site_fract_z
_atom_site_occupancy
Ac1 Ac 0.0000 0.0000 0.0000 1
Er1 Er 0.2500 0.2500 0.7500 1
Th1 Th 0.2500 0.2500 0.2500 1
Al1 Al 0.0000 0.0000 0.5000 1
```

***

(4)
First-principles (PBE) data for a geometry-optimized AcErAlTl structure, as listed in the Alexandria database.

Results
Total magnetic moment, μB/atom: 0.00
ΔH_f (0 K), eV per atom: -0.253
D(E_F), states/eV/f.u.: 1.434

```
data_AcErAlTl
_chemical_formula_sum 'Ac4 Er4 Al4 Tl4'
_symmetry_space_group_name_H-M 'F -4 3 m'
_symmetry_Int_Tables_number 216
_symmetry_space_group_name_Hall 'F -4 2 3'
_cell_length_a 7.7580
_cell_length_b 7.7580
_cell_length_c 7.7580
_cell_angle_alpha 90.00
_cell_angle_beta 90.00
_cell_angle_gamma 90.00
loop_
_atom_site_label
_atom_site_type_symbol
_atom_site_fract_x
_atom_site_fract_y
_atom_site_fract_z
_atom_site_occupancy
Ac1 Ac 0.0000 0.0000 0.0000 1
Er1 Er 0.0000 0.0000 0.5000 1
Al1 Al 0.2500 0.2500 0.7500 1
Tl1 Tl 0.2500 0.2500 0.2500 1
```

***

(5)
First-principles (PBE) data for a geometry-optimized AcErTmAl structure, as listed in the Alexandria database.

Results
Total magnetic moment, μB/atom: 0.10
ΔH_f (0 K), eV per atom: 0.109
D(E_F), states/eV/f.u.: 7.915

```
data_AcErTmAl
_chemical_formula_sum 'Ac4 Er4 Tm4 Al4'
_symmetry_space_group_name_H-M 'F -4 3 m'
_symmetry_Int_Tables_number 216
_symmetry_space_group_name_Hall 'F -4 2 3'
_cell_length_a 7.7411
_cell_length_b 7.7411
_cell_length_c 7.7411
_cell_angle_alpha 90.00
_cell_angle_beta 90.00
_cell_angle_gamma 90.00
loop_
_atom_site_label
_atom_site_type_symbol
_atom_site_fract_x
_atom_site_fract_y
_atom_site_fract_z
_atom_site_occupancy
Ac1 Ac 0.0000 0.0000 0.0000 1
Er1 Er 0.2500 0.2500 0.7500 1
Tm1 Tm 0.2500 0.2500 0.2500 1
Al1 Al 0.0000 0.0000 0.5000 1
```

***

(6)
First-principles (PBE) data for a geometry-optimized AcErAlZn structure, as listed in the Alexandria database.

Results
Total magnetic moment, μB/atom: 0.00
ΔH_f (0 K), eV per atom: -0.245
D(E_F), states/eV/f.u.: 3.940

```
data_AcErAlZn
_chemical_formula_sum 'Ac4 Er4 Al4 Zn4'
_symmetry_space_group_name_H-M 'F -4 3 m'
_symmetry_Int_Tables_number 216
_symmetry_space_group_name_Hall 'F -4 2 3'
_cell_length_a 7.5443
_cell_length_b 7.5443
_cell_length_c 7.5443
_cell_angle_alpha 90.00
_cell_angle_beta 90.00
_cell_angle_gamma 90.00
loop_
_atom_site_label
_atom_site_type_symbol
_atom_site_fract_x
_atom_site_fract_y
_atom_site_fract_z
_atom_site_occupancy
Ac1 Ac 0.0000 0.0000 0.0000 1
Er1 Er 0.0000 0.0000 0.5000 1
Al1 Al 0.2500 0.2500 0.7500 1
Zn1 Zn 0.2500 0.2500 0.2500 1
```